[1]
Pa2OsCl2 | PBE-GGA | optimized geometry

Calculated values
Size of the total moment (μB per atom): 0.001
Fermi-level density of states (states/eV per atom): 1.4225
E_tot (eV/cell): -78.28
Symmetry: C2/m (12)
Uncorrected formation energy (eV per formula unit): -5.2

a = 6.902 Å, b = 3.983 Å, c = 10.996 Å
α = 90.00°, β = 103.25°, γ = 90.00°
Atoms (fractional coordinates):
Pa 0.219 0.000 0.142
Pa 0.281 0.500 0.858
Pa 0.719 0.500 0.142
Pa 0.781 0.000 0.858
Os 0.000 0.500 0.000
Os 0.500 0.000 0.000
Cl 0.052 0.000 0.685
Cl 0.448 0.500 0.315
Cl 0.552 0.500 0.685
Cl 0.948 0.000 0.315


[2]
RbGa6Se8 | PBE-GGA | optimized geometry

Calculated values
Size of the total moment (μB per atom): 0.000
Fermi-level density of states (states/eV per atom): 0.5358
E_tot (eV/cell): -54.45
Symmetry: R-3 (148)
Uncorrected formation energy (eV per formula unit): -7.4

a = 7.480 Å, b = 7.480 Å, c = 7.480 Å
α = 93.48°, β = 93.48°, γ = 93.48°
Atoms (fractional coordinates):
Rb 0.000 0.000 0.000
Ga 0.192 0.632 0.329
Ga 0.329 0.192 0.632
Ga 0.368 0.671 0.808
Ga 0.632 0.329 0.192
Ga 0.671 0.808 0.368
Ga 0.808 0.368 0.671
Se 0.136 0.402 0.801
Se 0.199 0.864 0.598
Se 0.330 0.330 0.330
Se 0.402 0.801 0.136
Se 0.598 0.199 0.864
Se 0.670 0.670 0.670
Se 0.801 0.136 0.402
Se 0.864 0.598 0.199


[3]
V2GaB | PBE-GGA | optimized geometry

Calculated values
Size of the total moment (μB per atom): 0.000
Fermi-level density of states (states/eV per atom): 0.3005
E_tot (eV/cell): -87.55
Symmetry: R-3m (166)
DFT formation energy (eV per atom): -0.310
Relative energy among the computed polymorphs (eV per formula unit): 0.42

a = 2.974 Å, b = 2.974 Å, c = 19.725 Å
α = 90.00°, β = 90.00°, γ = 120.00°
Atoms (fractional coordinates):
V 0.000 0.000 0.226
V 0.000 0.000 0.774
V 0.333 0.667 0.441
V 0.333 0.667 0.893
V 0.667 0.333 0.107
V 0.667 0.333 0.559
Ga 0.000 0.000 0.000
Ga 0.333 0.667 0.667
Ga 0.667 0.333 0.333
B 0.000 0.000 0.500
B 0.333 0.667 0.167
B 0.667 0.333 0.833


[4]
Cu3BiF | PBE-GGA | optimized geometry

Calculated values
Size of the total moment (μB per atom): 0.103
Fermi-level density of states (states/eV per atom): 2.2744
E_tot (eV/cell): -15.26
Symmetry: Pm-3m (221)
Uncorrected formation energy (eV per formula unit): 2.8
Relative energy among the computed polymorphs (eV per formula unit): 2.74

a = 4.996 Å, b = 4.996 Å, c = 4.996 Å
α = 90.00°, β = 90.00°, γ = 90.00°
Atoms (fractional coordinates):
Cu 0.000 0.000 0.500
Cu 0.000 0.500 0.000
Cu 0.500 0.000 0.000
Bi 0.000 0.000 0.000
F 0.500 0.500 0.500


[5]
HfGe2W | PBE-GGA | optimized geometry

Calculated values
Size of the total moment (μB per atom): 0.126
Fermi-level density of states (states/eV per atom): 1.2738
E_tot (eV/cell): -113.47
Symmetry: I-42d (122)
DFT formation energy (eV per atom): 0.943
Relative energy among the computed polymorphs (eV per formula unit): 3.80

a = 5.785 Å, b = 5.785 Å, c = 12.167 Å
α = 90.00°, β = 90.00°, γ = 90.00°
Atoms (fractional coordinates):
Hf 0.000 0.000 0.000
Hf 0.000 0.500 0.250
Hf 0.500 0.000 0.750
Hf 0.500 0.500 0.500
Ge 0.219 0.250 0.625
Ge 0.250 0.719 0.875
Ge 0.250 0.781 0.375
Ge 0.281 0.250 0.125
Ge 0.719 0.750 0.125
Ge 0.750 0.219 0.375
Ge 0.750 0.281 0.875
Ge 0.781 0.750 0.625
W 0.000 0.000 0.500
W 0.000 0.500 0.750
W 0.500 0.000 0.250
W 0.500 0.500 0.000


[6]
SrMgCo2 | PBE-GGA | optimized geometry

Calculated values
Size of the total moment (μB per atom): 0.586
Fermi-level density of states (states/eV per atom): 0.6240
E_tot (eV/cell): -33.25
Symmetry: C2/m (12)
DFT formation energy (eV per atom): 0.216
Relative energy among the computed polymorphs (eV per formula unit): 0.30

a = 8.178 Å, b = 4.113 Å, c = 6.091 Å
α = 90.00°, β = 117.55°, γ = 90.00°
Atoms (fractional coordinates):
Sr 0.000 0.000 0.000
Sr 0.500 0.500 0.000
Mg 0.000 0.500 0.500
Mg 0.500 0.000 0.500
Co 0.205 0.000 0.546
Co 0.295 0.500 0.454
Co 0.705 0.500 0.546
Co 0.795 0.000 0.454


[7]
Pm2DyGa4Pd3 | PBE-GGA | optimized geometry

Calculated values
Size of the total moment (μB per atom): 0.000
Fermi-level density of states (states/eV per atom): 0.8012
E_tot (eV/cell): -49.00
Symmetry: P-4m2 (115)
DFT formation energy (eV per atom): -0.721

a = 4.221 Å, b = 4.221 Å, c = 11.799 Å
α = 90.00°, β = 90.00°, γ = 90.00°
Atoms (fractional coordinates):
Pm 0.000 0.500 0.226
Pm 0.500 0.000 0.774
Dy 0.000 0.000 0.500
Ga 0.000 0.000 0.000
Ga 0.000 0.500 0.668
Ga 0.500 0.000 0.332
Ga 0.500 0.500 0.000
Pd 0.000 0.500 0.877
Pd 0.500 0.000 0.123
Pd 0.500 0.500 0.500


[8]
Ac2CdIn3 | PBE-GGA | optimized geometry

Calculated values
Size of the total moment (μB per atom): 0.000
Fermi-level density of states (states/eV per atom): 0.7128
E_tot (eV/cell): -39.91
Symmetry: Fmmm (69)
DFT formation energy (eV per atom): -0.435
Relative energy among the computed polymorphs (eV per formula unit): 0.08

a = 10.164 Å, b = 9.714 Å, c = 6.563 Å
α = 74.48°, β = 67.05°, γ = 38.47°
Atoms (fractional coordinates):
Ac 0.249 0.751 0.751
Ac 0.250 0.250 0.250
Ac 0.750 0.750 0.750
Ac 0.751 0.249 0.249
Cd 0.167 0.167 0.833
Cd 0.833 0.833 0.167
In 0.166 0.667 0.333
In 0.333 0.333 0.667
In 0.333 0.834 0.166
In 0.667 0.166 0.834
In 0.667 0.667 0.333
In 0.834 0.333 0.667


[9]
ScSnPd2 | PBE-GGA | optimized geometry

Calculated values
Size of the total moment (μB per atom): 0.000
Fermi-level density of states (states/eV per atom): 0.6068
E_tot (eV/cell): -89.46
Symmetry: I-42d (122)
DFT formation energy (eV per atom): -0.411

a = 4.198 Å, b = 4.198 Å, c = 18.264 Å
α = 90.00°, β = 90.00°, γ = 90.00°
Atoms (fractional coordinates):
Sc 0.000 0.000 0.000
Sc 0.000 0.500 0.250
Sc 0.500 0.000 0.750
Sc 0.500 0.500 0.500
Sn 0.000 0.000 0.500
Sn 0.000 0.500 0.750
Sn 0.500 0.000 0.250
Sn 0.500 0.500 0.000
Pd 0.245 0.250 0.625
Pd 0.250 0.745 0.875
Pd 0.250 0.755 0.375
Pd 0.255 0.250 0.125
Pd 0.745 0.750 0.125
Pd 0.750 0.245 0.375
Pd 0.750 0.255 0.875
Pd 0.755 0.750 0.625


[10]
Nb5TlTe8 | PBE-GGA | optimized geometry

Calculated values
Size of the total moment (μB per atom): 0.000
Fermi-level density of states (states/eV per atom): 0.5810
E_tot (eV/cell): -83.70
Symmetry: C2/m (12)
Uncorrected formation energy (eV per formula unit): -5.9

a = 10.200 Å, b = 10.200 Å, c = 10.032 Å
α = 103.90°, β = 103.90°, γ = 20.80°
Atoms (fractional coordinates):
Nb 0.000 0.000 0.000
Nb 0.286 0.286 0.631
Nb 0.361 0.361 0.995
Nb 0.639 0.639 0.005
Nb 0.714 0.714 0.369
Tl 0.500 0.500 0.500
Te 0.083 0.083 0.806
Te 0.149 0.149 0.506
Te 0.244 0.244 0.159
Te 0.430 0.430 0.796
Te 0.570 0.570 0.204
Te 0.756 0.756 0.841
Te 0.851 0.851 0.494
Te 0.917 0.917 0.194


[11]
Dy3Ho8Sc2 | PBE-GGA | optimized geometry

Calculated values
Size of the total moment (μB per atom): 0.000
Fermi-level density of states (states/eV per atom): 1.4507
E_tot (eV/cell): -59.98
Symmetry: C2/m (12)
DFT formation energy (eV per atom): 0.239
Relative energy among the computed polymorphs (eV per formula unit): 0.06

a = 10.425 Å, b = 10.425 Å, c = 5.540 Å
α = 90.03°, β = 90.03°, γ = 42.85°
Atoms (fractional coordinates):
Dy 0.000 0.000 0.000
Dy 0.287 0.713 0.500
Dy 0.713 0.287 0.500
Ho 0.135 0.135 0.500
Ho 0.178 0.597 0.000
Ho 0.324 0.324 0.499
Ho 0.403 0.822 0.000
Ho 0.597 0.178 0.000
Ho 0.676 0.676 0.501
Ho 0.822 0.403 0.000
Ho 0.865 0.865 0.500
Sc 0.241 0.241 0.999
Sc 0.759 0.759 0.001


[12]
Al2CuBiS | PBE-GGA | optimized geometry

Calculated values
Size of the total moment (μB per atom): 0.000
Fermi-level density of states (states/eV per atom): 0.4219
E_tot (eV/cell): -18.53
Symmetry: P4/mmm (123)
Uncorrected formation energy (eV per formula unit): 1.1

a = 4.968 Å, b = 4.968 Å, c = 4.331 Å
α = 90.00°, β = 90.00°, γ = 90.00°
Atoms (fractional coordinates):
Al 0.000 0.500 0.000
Al 0.500 0.000 0.000
Cu 0.000 0.000 0.500
Bi 0.500 0.500 0.500
S 0.000 0.000 0.000


[13]
ZrZn2 | PBE-GGA | optimized geometry

Calculated values
Size of the total moment (μB per atom): 0.000
Fermi-level density of states (states/eV per atom): 0.5857
E_tot (eV/cell): -22.23
Symmetry: Immm (71)
DFT formation energy (eV per atom): -0.007

a = 3.058 Å, b = 4.274 Å, c = 8.253 Å
α = 90.00°, β = 90.00°, γ = 90.00°
Atoms (fractional coordinates):
Zr 0.000 0.000 0.000
Zr 0.500 0.500 0.500
Zn 0.000 0.000 0.339
Zn 0.000 0.000 0.661
Zn 0.500 0.500 0.161
Zn 0.500 0.500 0.839


[14]
AgRhBr | PBE-GGA | optimized geometry

Calculated values
Size of the total moment (μB per atom): 0.453
Fermi-level density of states (states/eV per atom): 0.8272
E_tot (eV/cell): -21.03
Symmetry: I4mm (107)
Uncorrected formation energy (eV per formula unit): 1.4
Relative energy among the computed polymorphs (eV per formula unit): 0.31

a = 3.171 Å, b = 3.171 Å, c = 11.482 Å
α = 90.00°, β = 90.00°, γ = 90.00°
Atoms (fractional coordinates):
Ag 0.000 0.000 0.000
Ag 0.500 0.500 0.500
Rh 0.000 0.000 0.657
Rh 0.500 0.500 0.157
Br 0.000 0.000 0.293
Br 0.500 0.500 0.793


[15]
ZrCuNO2 | PBE-GGA | optimized geometry

Calculated values
Size of the total moment (μB per atom): 0.000
Fermi-level density of states (states/eV per atom): 0.2017
E_tot (eV/cell): -34.33
Symmetry: P4/mmm (123)
Uncorrected formation energy (eV per formula unit): -3.4

a = 3.678 Å, b = 3.678 Å, c = 3.815 Å
α = 90.00°, β = 90.00°, γ = 90.00°
Atoms (fractional coordinates):
Zr 0.000 0.000 0.000
Cu 0.500 0.500 0.500
N 0.500 0.500 0.000
O 0.000 0.500 0.500
O 0.500 0.000 0.500


[16]
AlSi2Ni3 | PBE-GGA | optimized geometry

Calculated values
Size of the total moment (μB per atom): 0.000
Fermi-level density of states (states/eV per atom): 0.4113
E_tot (eV/cell): -33.76
Symmetry: P6/mmm (191)
Uncorrected formation energy (eV per formula unit): -1.8
Relative energy among the computed polymorphs (eV per formula unit): 0.98

a = 4.924 Å, b = 4.924 Å, c = 3.670 Å
α = 90.00°, β = 90.00°, γ = 120.00°
Atoms (fractional coordinates):
Al 0.000 0.000 0.000
Si 0.333 0.667 0.000
Si 0.667 0.333 0.000
Ni 0.000 0.500 0.500
Ni 0.500 0.000 0.500
Ni 0.500 0.500 0.500


[17]
Tl2OsF | PBE-GGA | optimized geometry

Calculated values
Size of the total moment (μB per atom): 0.000
Fermi-level density of states (states/eV per atom): 0.8017
E_tot (eV/cell): -64.39
Symmetry: I-42d (122)
Uncorrected formation energy (eV per formula unit): 1.7
Relative energy among the computed polymorphs (eV per formula unit): 0.39

a = 5.579 Å, b = 5.579 Å, c = 13.677 Å
α = 90.00°, β = 90.00°, γ = 90.00°
Atoms (fractional coordinates):
Tl 0.239 0.250 0.125
Tl 0.250 0.739 0.375
Tl 0.250 0.761 0.875
Tl 0.261 0.250 0.625
Tl 0.739 0.750 0.625
Tl 0.750 0.239 0.875
Tl 0.750 0.261 0.375
Tl 0.761 0.750 0.125
Os 0.000 0.000 0.500
Os 0.000 0.500 0.750
Os 0.500 0.000 0.250
Os 0.500 0.500 0.000
F 0.000 0.000 0.000
F 0.000 0.500 0.250
F 0.500 0.000 0.750
F 0.500 0.500 0.500


[18]
Si2HgSe | PBE-GGA | optimized geometry

Calculated values
Size of the total moment (μB per atom): 0.000
Fermi-level density of states (states/eV per atom): 0.5241
E_tot (eV/cell): -26.31
Symmetry: C2/m (12)
Uncorrected formation energy (eV per formula unit): 1.5
Relative energy among the computed polymorphs (eV per formula unit): 0.88

a = 7.682 Å, b = 7.634 Å, c = 2.795 Å
α = 90.00°, β = 90.34°, γ = 90.00°
Atoms (fractional coordinates):
Si 0.250 0.250 0.000
Si 0.250 0.750 0.000
Si 0.750 0.250 0.000
Si 0.750 0.750 0.000
Hg 0.000 0.000 0.000
Hg 0.500 0.500 0.000
Se 0.000 0.500 0.000
Se 0.500 0.000 0.000


[19]
BaTe2As | PBE-GGA | optimized geometry

Calculated values
Size of the total moment (μB per atom): 0.000
Fermi-level density of states (states/eV per atom): 0.5757
E_tot (eV/cell): -14.40
Symmetry: P4/mmm (123)
Uncorrected formation energy (eV per formula unit): -1.5

a = 4.420 Å, b = 4.420 Å, c = 6.517 Å
α = 90.00°, β = 90.00°, γ = 90.00°
Atoms (fractional coordinates):
Ba 0.000 0.000 0.000
Te 0.500 0.500 0.268
Te 0.500 0.500 0.732
As 0.000 0.000 0.500